The following is a DFT calculation (PBE) of an optimized crystal structure of Ba4ScMn.

Structure (CIF):
```
data_Ba4ScMn
_chemical_formula_sum 'Ba16 Sc4 Mn4'
_cell_length_a 10.365
_cell_length_b 10.365
_cell_length_c 10.365
_cell_angle_alpha 90.00
_cell_angle_beta 90.00
_cell_angle_gamma 90.00
_symmetry_space_group_name_H-M 'F -4 3 m'
_symmetry_Int_Tables_number 216
_symmetry_space_group_name_Hall 'F -4 2 3'
loop_
_atom_site_label
_atom_site_fract_x
_atom_site_fract_y
_atom_site_fract_z
Ba1 0.125 0.125 0.125
Sc1 0.000 0.000 0.500
Mn1 0.250 0.250 0.750
```

Computed properties:
The volume is 46.4 Å³ per atom. The calculation puts the density of states at the Fermi level at 56.71 states/eV per cell. As for the total moment: 6.15 μB per formula unit. The calculated formation energy is 0.884 eV/atom.



The following is a DFT calculation (PBE) of an optimized crystal structure of Ca6Sn2F.

Structure (CIF):
```
data_Ca6Sn2F
_chemical_formula_sum 'Ca12 Sn4 F2'
_cell_length_a 6.823
_cell_length_b 8.408
_cell_length_c 11.891
_cell_angle_alpha 90.00
_cell_angle_beta 124.82
_cell_angle_gamma 90.00
_symmetry_space_group_name_H-M 'P 1 21/c 1'
_symmetry_Int_Tables_number 14
_symmetry_space_group_name_Hall '-P 2ybc'
loop_
_atom_site_label
_atom_site_fract_x
_atom_site_fract_y
_atom_site_fract_z
Ca1 0.111 0.185 0.445
Ca2 0.269 0.660 0.450
Ca3 0.357 0.022 0.264
Sn1 0.201 0.115 0.745
F1 0.500 0.000 0.500
```

Computed properties:
The volume is 31.1 Å³ per atom. The calculation puts the density of states at the Fermi level at 9.66 states/eV per cell. As for the total moment: 0.57 μB per formula unit. The value obtained for the energy relative to the elements, uncorrected is -977 meV/atom.



The following is a DFT calculation (PBE) of an optimized crystal structure of Pm2Sc2Sn5.

Structure (CIF):
```
data_Pm2Sc2Sn5
_chemical_formula_sum 'Pm8 Sc8 Sn20'
_cell_length_a 16.226
_cell_length_b 7.835
_cell_length_c 7.824
_cell_angle_alpha 90.00
_cell_angle_beta 90.00
_cell_angle_gamma 90.00
_symmetry_space_group_name_H-M 'C m c e'
_symmetry_Int_Tables_number 64
_symmetry_space_group_name_Hall '-C 2ac 2'
loop_
_atom_site_label
_atom_site_fract_x
_atom_site_fract_y
_atom_site_fract_z
Pm1 0.193 0.000 0.000
Sc1 0.000 0.163 0.336
Sn1 0.000 0.000 0.000
Sn2 0.127 0.132 0.632
```

Computed properties:
The volume is 27.6 Å³ per atom. The calculation puts the density of states at the Fermi level at 12.94 states/eV per cell. As for the total moment: 0.00 μB per formula unit. The calculated formation energy is -0.540 eV/atom.



The following is a DFT calculation (PBE) of an optimized crystal structure of SiB2H8.

Structure (CIF):
```
data_SiB2H8
_chemical_formula_sum 'Si2 B4 H16'
_cell_length_a 8.223
_cell_length_b 5.409
_cell_length_c 4.645
_cell_angle_alpha 90.00
_cell_angle_beta 106.88
_cell_angle_gamma 90.00
_symmetry_space_group_name_H-M 'C 1 2/m 1'
_symmetry_Int_Tables_number 12
_symmetry_space_group_name_Hall '-C 2y'
loop_
_atom_site_label
_atom_site_fract_x
_atom_site_fract_y
_atom_site_fract_z
Si1 0.000 0.000 0.000
B1 0.198 0.000 0.677
H1 0.129 0.186 0.751
H2 0.149 0.500 0.210
H3 0.166 0.000 0.394
```

Computed properties:
The volume is 9.0 Å³ per atom. The calculation puts the density of states at the Fermi level at 0.00 states/eV per cell. As for the total moment: 0.00 μB per formula unit. For the total energy, the calculation gives -86.8 eV/cell.